Record 1
First-principles (PBEsol) data for a geometry-optimized ZnAu2 structure, as listed in Alexandria via LeMat-Bulk.

Computed properties:
ΔH_f (0 K) = -138 meV per atom
DOS(E_F) = 0.8 states/eV/f.u.
calculated volume = 192 Å³/cell

CIF file:
```
data_ZnAu2
_space_group_name_H-M_alt 'C 1 m 1'
_space_group_IT_number 8
_cell_length_a 10.3391
_cell_length_b 2.9095
_cell_length_c 6.5703
_cell_angle_alpha 90.00
_cell_angle_beta 103.37
_cell_angle_gamma 90.00
loop_
_space_group_symop_operation_xyz
'x,y,z'
'x,-y,z'
'x+1/2,y+1/2,z'
'x+1/2,-y+1/2,z'
loop_
_atom_site_label
_atom_site_fract_x
_atom_site_fract_y
_atom_site_fract_z
_atom_site_occupancy
Zn1 0.0000 0.0000 0.0000 1
Zn2 0.1870 0.5000 0.3621 1
Au1 0.1206 0.5000 0.7508 1
Au2 0.2813 0.0000 0.0894 1
Au3 0.3441 0.0000 0.6759 1
Au4 0.4750 0.5000 0.3882 1
```

***

Record 2
First-principles (PBEsol) data for a geometry-optimized ZnAu2 structure, as listed in Alexandria via LeMat-Bulk.

Computed properties:
ΔH_f (0 K) = -34 meV per atom
DOS(E_F) = 0.7 states/eV/f.u.
calculated volume = 54 Å³/cell

CIF file:
```
data_ZnAu2
_space_group_name_H-M_alt 'P 4/m m m'
_space_group_IT_number 123
_space_group_name_Hall '-P 4 2'
_cell_length_a 4.4231
_cell_length_b 4.4231
_cell_length_c 2.7763
_cell_angle_alpha 90.00
_cell_angle_beta 90.00
_cell_angle_gamma 90.00
loop_
_atom_site_label
_atom_site_fract_x
_atom_site_fract_y
_atom_site_fract_z
_atom_site_occupancy
Zn1 0.0000 0.0000 0.0000 1
Au1 0.0000 0.5000 0.5000 1
```

***

Record 3
First-principles (PBEsol) data for a geometry-optimized Zn3Au2 structure, as listed in Alexandria via LeMat-Bulk.

Computed properties:
ΔH_f (0 K) = -182 meV per atom
DOS(E_F) = 1.0 states/eV/f.u.
calculated volume = 602 Å³/cell
energy above the most stable polymorph in this dataset = 0.0 meV per atom

CIF file:
```
data_Zn3Au2
_space_group_name_H-M_alt 'F d d 2'
_space_group_IT_number 43
_space_group_name_Hall 'F 2 -2d'
_cell_length_a 9.0398
_cell_length_b 13.1008
_cell_length_c 5.0855
_cell_angle_alpha 90.00
_cell_angle_beta 90.00
_cell_angle_gamma 90.00
loop_
_atom_site_label
_atom_site_fract_x
_atom_site_fract_y
_atom_site_fract_z
_atom_site_occupancy
Zn1 0.0000 0.0000 0.0000 1
Zn2 0.0440 0.4013 0.0339 1
Au1 0.0285 0.3027 0.5761 1
```